TeAuNF: optimized geometry, PBE-GGA.

Calculated values
- Energy: -4.165 eV per atom
- Excess energy over the best structure of this formula in the dataset: 0.019 eV per atom
- Spin magnetization: 0.0 μB per formula unit
- Fermi-level density of states: 0.58 states/eV/cell
- Formation energy (no corrections): 0.0 eV per formula unit

a b c (Å): 3.244 3.261 7.218
angles (deg): 81.68 89.96 89.94
Fractional coordinates of all 4 atoms:
N: 0.302 0.428 0.632
Te: 0.803 0.460 0.458
F: 0.304 0.193 0.204
Au: 0.303 0.313 0.913